# 1
# MgTaFeGe

A relaxed MgTaFeGe crystal (PBE-GGA, the Open Quantum Materials Database).

abc: 6.201 6.201 6.201
angles: 90.00 90.00 90.00
Space group F-43m (No. 216)
Symmetry-distinct sites (fractional):
Mg: 0.000 0.000 0.000 [4 per cell]
Ta: 0.250 0.250 0.750 [4 per cell]
Fe: 0.000 0.000 0.500 [4 per cell]
Ge: 0.250 0.250 0.250 [4 per cell]

Results
- Raw total energy: -6.36 eV per atom
- E above lowest polymorph: 0.0 kJ/mol of atoms


# 2
# ErZnPd

A relaxed ErZnPd crystal (PBE-GGA, the Open Quantum Materials Database).

abc: 4.7639 4.7639 5.8072
angles: 90.00 90.00 120.00
Space group P6_3/mmc (No. 194)
Symmetry-distinct sites (fractional):
Er: 0.3333 0.6667 0.2500 [2 per cell]
Zn: 0.3333 0.6667 0.7500 [2 per cell]
Pd: 0.0000 0.0000 0.0000 [2 per cell]

Results
- Raw total energy: -4.17 eV per atom
- E_form: -0.502 eV/atom


# 3
# Mo2Br

A relaxed Mo2Br crystal (PBE-GGA, the Open Quantum Materials Database).

abc: 7.612 7.612 7.612
angles: 90.00 90.00 90.00
Space group Fd-3m (No. 227, origin choice 2)
Symmetry-distinct sites (fractional):
Mo: 0.000 0.000 0.000 [16 per cell]
Br: 0.125 0.125 0.625 [8 per cell]

Results
- Raw total energy: -6.53 eV per atom
- E above lowest polymorph: 0.0 kJ/mol of atoms